Entry 1:
Material: KLaCuF2
Method: DFT, PBE
State: relaxed

Unit cell a=5.0578 b=5.0089 c=5.0578 alpha=90.00 beta=90.00 gamma=90.00
Fractional positions:
K (0.5000, 0.5000, 0.5000)
F (0.0000, 0.0000, 0.5000)
F (0.5000, 0.0000, 0.0000)
Cu (0.0000, 0.0000, 0.0000)
La (0.0000, 0.5000, 0.0000)

Its space-group type is P4/mmm.

=====

Entry 2:
Material: K2LaCuF8
Method: DFT, PBE
State: relaxed

Unit cell a=4.1395 b=6.2062 c=8.2453 alpha=100.12 beta=86.47 gamma=94.42
Fractional positions:
K (0.4837, 0.5282, 0.7583)
K (0.5163, 0.4718, 0.2417)
La (0.0000, 0.0000, 0.5000)
Cu (0.0000, 0.0000, 0.0000)
F (0.0398, 0.7134, 0.2877)
F (0.6572, 0.8186, 0.0373)
F (0.9690, 0.1482, 0.2074)
F (0.9602, 0.2866, 0.7123)
F (0.3428, 0.1814, 0.9627)
F (0.0310, 0.8518, 0.7926)
F (0.4941, 0.7976, 0.5402)
F (0.5059, 0.2024, 0.4598)

Its space-group type is P-1.

=====

Entry 3:
Material: KLi2CuF6
Method: DFT, PBE
State: relaxed

Unit cell a=6.8901 b=7.4879 c=7.4879 alpha=65.22 beta=63.56 gamma=63.56
Fractional positions:
K (0.2500, 0.7242, 0.2758)
K (0.7500, 0.2758, 0.7242)
Li (0.3434, 0.7890, 0.6534)
Li (0.1566, 0.3466, 0.2110)
Li (0.6566, 0.2110, 0.3466)
Li (0.8434, 0.6534, 0.7890)
Cu (0.2500, 0.1944, 0.8056)
Cu (0.7500, 0.8056, 0.1944)
F (0.1707, 0.0575, 0.7160)
F (0.3293, 0.2840, 0.9425)
F (0.8293, 0.9425, 0.2840)
F (0.6707, 0.7160, 0.0575)
F (0.4559, 0.9132, 0.3290)
F (0.0441, 0.6710, 0.0868)
F (0.5441, 0.0868, 0.6710)
F (0.9559, 0.3290, 0.9132)
F (0.1242, 0.7032, 0.6538)
F (0.3758, 0.3462, 0.2968)
F (0.8758, 0.2968, 0.3462)
F (0.6242, 0.6538, 0.7032)

Its space-group type is C2/c.

=====

Entry 4:
Material: K2LiCu2F6
Method: DFT, PBE
State: relaxed

Unit cell a=5.8519 b=6.0680 c=6.1108 alpha=114.52 beta=90.00 gamma=118.83
Fractional positions:
K (0.7158, 0.4316, 0.1617)
K (0.2842, 0.5684, 0.8383)
Li (0.5000, 0.0000, 0.5000)
Cu (0.9275, 0.8551, 0.7447)
Cu (0.0725, 0.1449, 0.2553)
F (0.7295, 0.4590, 0.6254)
F (0.2019, 0.9006, 0.2235)
F (0.3013, 0.0994, 0.7765)
F (0.7981, 0.0994, 0.7765)
F (0.6987, 0.9006, 0.2235)
F (0.2705, 0.5410, 0.3746)

Its space-group type is C2/m.

=====

Entry 5:
Material: K3LiCu2F8
Method: DFT, PBE
State: relaxed

Unit cell a=5.7364 b=5.7364 c=7.6385 alpha=90.00 beta=90.00 gamma=120.00
Fractional positions:
K (0.3333, 0.6667, 0.6272)
K (0.6667, 0.3333, 0.3728)
K (0.0000, 0.0000, 0.0000)
Li (0.0000, 0.0000, 0.5000)
Cu (0.3333, 0.6667, 0.2036)
Cu (0.6667, 0.3333, 0.7964)
F (0.3333, 0.6667, 0.9582)
F (0.6667, 0.3333, 0.0418)
F (0.1644, 0.8356, 0.3302)
F (0.8356, 0.1644, 0.6698)
F (0.1644, 0.3287, 0.3302)
F (0.8356, 0.6713, 0.6698)
F (0.6713, 0.8356, 0.3302)
F (0.3287, 0.1644, 0.6698)

Its space-group type is P-3m1.

=====

Entry 6:
Material: K2Li2CuF6
Method: DFT, PBE
State: relaxed

Unit cell a=5.8727 b=5.8727 c=6.3721 alpha=62.56 beta=62.56 gamma=60.00
Fractional positions:
K (0.7843, 0.7843, 0.6470)
K (0.2157, 0.2157, 0.3530)
Li (0.4123, 0.4123, 0.7632)
Li (0.5877, 0.5877, 0.2368)
Cu (0.0000, 0.0000, 0.0000)
F (0.7626, 0.7626, 0.2357)
F (0.2390, 0.7626, 0.2357)
F (0.7626, 0.2390, 0.2357)
F (0.2374, 0.7610, 0.7643)
F (0.7610, 0.2374, 0.7643)
F (0.2374, 0.2374, 0.7643)

Its space-group type is R-3m.

=====

Calculated electronic total energy in order - -3.3710; -4.9673; -4.2594; -4.2367; -4.2184; -4.3662 eV per atom